1:
# Dy4ZnTc PBE optimized geometry
# Theoretical density   8.565 g/cm3
# Space-group type   C2/c (15)
data_Dy4ZnTc
_cell_length_a 6.276
_cell_length_b 7.516
_cell_length_c 7.516
_cell_angle_alpha 112.72
_cell_angle_beta 98.42
_cell_angle_gamma 98.42
_space_group_name_H-M_alt 'P 1'
_space_group_IT_number 1
loop_
_space_group_symop_operation_xyz
'x,y,z'
loop_
_atom_site_label
_atom_site_type_symbol
_atom_site_fract_x
_atom_site_fract_y
_atom_site_fract_z
Dy1 Dy 0.089 0.370 0.211
Zn1 Zn 0.750 0.628 0.372
Dy2 Dy 0.589 0.211 0.370
Zn2 Zn 0.250 0.372 0.628
Tc1 Tc 0.250 0.998 0.002
Dy3 Dy 0.039 0.933 0.278
Dy4 Dy 0.911 0.630 0.789
Dy5 Dy 0.411 0.789 0.630
Dy6 Dy 0.961 0.067 0.722
Dy7 Dy 0.539 0.278 0.933
Dy8 Dy 0.461 0.722 0.067
Tc2 Tc 0.750 0.002 0.998



2:
# Dy4ZnTc PBE optimized geometry
# Theoretical density   7.341 g/cm3
# Space-group type   I4_1md (109)
data_Dy4ZnTc
_cell_length_a 7.837
_cell_length_b 7.837
_cell_length_c 7.837
_cell_angle_alpha 106.80
_cell_angle_beta 106.80
_cell_angle_gamma 114.95
_space_group_name_H-M_alt 'P 1'
_space_group_IT_number 1
loop_
_space_group_symop_operation_xyz
'x,y,z'
loop_
_atom_site_label
_atom_site_type_symbol
_atom_site_fract_x
_atom_site_fract_y
_atom_site_fract_z
Dy1 Dy 0.734 0.028 0.294
Dy2 Dy 0.266 0.961 0.694
Tc1 Tc 0.502 0.002 0.500
Dy3 Dy 0.711 0.516 0.194
Dy4 Dy 0.266 0.572 0.306
Dy5 Dy 0.734 0.440 0.706
Zn1 Zn 0.998 0.498 0.500
Dy6 Dy 0.778 0.984 0.794
Tc2 Tc 0.752 0.752 0.000
Dy7 Dy 0.190 0.984 0.206
Zn2 Zn 0.248 0.248 0.000
Dy8 Dy 0.322 0.516 0.806



It is 1 that is the most stable of them.



1:
# Dy4ThTe5 PBE optimized geometry
# Theoretical density   8.467 g/cm3
# Space-group type   I4/mmm (139)
data_Dy4ThTe5
_cell_length_a 4.360
_cell_length_b 4.360
_cell_length_c 15.984
_cell_angle_alpha 97.84
_cell_angle_beta 97.84
_cell_angle_gamma 90.00
_space_group_name_H-M_alt 'P 1'
_space_group_IT_number 1
loop_
_space_group_symop_operation_xyz
'x,y,z'
loop_
_atom_site_label
_atom_site_type_symbol
_atom_site_fract_x
_atom_site_fract_y
_atom_site_fract_z
Dy1 Dy 0.208 0.208 0.417
Dy2 Dy 0.406 0.406 0.812
Dy3 Dy 0.594 0.594 0.188
Te1 Te 0.895 0.895 0.790
Te2 Te 0.500 0.500 0.000
Te3 Te 0.694 0.694 0.388
Th1 Th 0.000 0.000 0.000
Te4 Te 0.306 0.306 0.612
Dy4 Dy 0.792 0.792 0.583
Te5 Te 0.105 0.105 0.210



2:
# Dy4ThTe5 PBE optimized geometry
# Theoretical density   8.496 g/cm3
# Space-group type   Immm (71)
data_Dy4ThTe5
_cell_length_a 4.289
_cell_length_b 6.202
_cell_length_c 11.787
_cell_angle_alpha 105.25
_cell_angle_beta 100.48
_cell_angle_gamma 90.00
_space_group_name_H-M_alt 'P 1'
_space_group_IT_number 1
loop_
_space_group_symop_operation_xyz
'x,y,z'
loop_
_atom_site_label
_atom_site_type_symbol
_atom_site_fract_x
_atom_site_fract_y
_atom_site_fract_z
Te1 Te 0.394 0.894 0.789
Te2 Te 0.606 0.106 0.211
Th1 Th 0.000 0.000 0.000
Te3 Te 0.803 0.303 0.605
Te4 Te 0.000 0.500 0.000
Te5 Te 0.197 0.697 0.395
Dy1 Dy 0.797 0.797 0.594
Dy2 Dy 0.404 0.404 0.808
Dy3 Dy 0.203 0.203 0.406
Dy4 Dy 0.596 0.596 0.192



It is 1 that is the most stable of them.



1:
# DyThTe PBE optimized geometry
# Theoretical density   9.506 g/cm3
# Space-group type   P3m1 (156)
data_DyThTe
_cell_length_a 3.824
_cell_length_b 5.248
_cell_length_c 5.248
_cell_angle_alpha 120.00
_cell_angle_beta 90.00
_cell_angle_gamma 90.00
_space_group_name_H-M_alt 'P 1'
_space_group_IT_number 1
loop_
_space_group_symop_operation_xyz
'x,y,z'
loop_
_atom_site_label
_atom_site_type_symbol
_atom_site_fract_x
_atom_site_fract_y
_atom_site_fract_z
Dy1 Dy 0.500 0.667 0.333
Te1 Te 0.499 0.333 0.667
Th1 Th 0.001 0.000 0.000



2:
# DyThTe PBE optimized geometry
# Theoretical density   9.453 g/cm3
# Space-group type   I4mm (107)
data_DyThTe
_cell_length_a 3.848
_cell_length_b 3.848
_cell_length_c 6.764
_cell_angle_alpha 106.53
_cell_angle_beta 106.53
_cell_angle_gamma 90.00
_space_group_name_H-M_alt 'P 1'
_space_group_IT_number 1
loop_
_space_group_symop_operation_xyz
'x,y,z'
loop_
_atom_site_label
_atom_site_type_symbol
_atom_site_fract_x
_atom_site_fract_y
_atom_site_fract_z
Te1 Te 0.673 0.673 0.347
Th1 Th 0.012 0.012 0.025
Dy1 Dy 0.314 0.314 0.629



3:
# DyThTe PBE optimized geometry
# Theoretical density   9.099 g/cm3
# Space-group type   P-6m2 (187)
data_DyThTe
_cell_length_a 3.873
_cell_length_b 3.873
_cell_length_c 14.672
_cell_angle_alpha 90.00
_cell_angle_beta 90.00
_cell_angle_gamma 120.00
_space_group_name_H-M_alt 'P 1'
_space_group_IT_number 1
loop_
_space_group_symop_operation_xyz
'x,y,z'
loop_
_atom_site_label
_atom_site_type_symbol
_atom_site_fract_x
_atom_site_fract_y
_atom_site_fract_z
Dy1 Dy 0.333 0.667 0.195
Te1 Te 0.000 0.000 0.343
Te2 Te 0.000 0.000 0.657
Th1 Th 0.000 0.000 0.000
Dy2 Dy 0.333 0.667 0.805
Th2 Th 0.333 0.667 0.500



It is 3 that is the most stable of them.



1:
# Dy2TlTe PBE optimized geometry
# Theoretical density   9.114 g/cm3
# Space-group type   R3m (160)
data_Dy2TlTe
_cell_length_a 4.049
_cell_length_b 4.049
_cell_length_c 8.750
_cell_angle_alpha 76.62
_cell_angle_beta 76.62
_cell_angle_gamma 60.00
_space_group_name_H-M_alt 'P 1'
_space_group_IT_number 1
loop_
_space_group_symop_operation_xyz
'x,y,z'
loop_
_atom_site_label
_atom_site_type_symbol
_atom_site_fract_x
_atom_site_fract_y
_atom_site_fract_z
Te1 Te 0.667 0.667 0.998
Dy1 Dy 0.078 0.078 0.766
Dy2 Dy 0.255 0.255 0.235
Tl1 Tl 0.499 0.499 0.502



2:
# Dy2TlTe PBE optimized geometry
# Theoretical density   9.447 g/cm3
# Space-group type   Cmcm (63)
data_Dy2TlTe
_cell_length_a 4.323
_cell_length_b 4.478
_cell_length_c 12.139
_cell_angle_alpha 100.63
_cell_angle_beta 90.00
_cell_angle_gamma 90.00
_space_group_name_H-M_alt 'P 1'
_space_group_IT_number 1
loop_
_space_group_symop_operation_xyz
'x,y,z'
loop_
_atom_site_label
_atom_site_type_symbol
_atom_site_fract_x
_atom_site_fract_y
_atom_site_fract_z
Dy1 Dy 0.750 0.677 0.354
Dy2 Dy 0.250 0.064 0.128
Te1 Te 0.250 0.193 0.385
Te2 Te 0.750 0.807 0.615
Dy3 Dy 0.750 0.936 0.872
Tl1 Tl 0.250 0.453 0.906
Dy4 Dy 0.250 0.323 0.646
Tl2 Tl 0.750 0.547 0.094



3:
# Dy2TlTe PBE optimized geometry
# Theoretical density   9.187 g/cm3
# Space-group type   R-3m (166)
data_Dy2TlTe
_cell_length_a 4.186
_cell_length_b 4.186
_cell_length_c 8.195
_cell_angle_alpha 89.95
_cell_angle_beta 104.83
_cell_angle_gamma 120.04
_space_group_name_H-M_alt 'P 1'
_space_group_IT_number 1
loop_
_space_group_symop_operation_xyz
'x,y,z'
loop_
_atom_site_label
_atom_site_type_symbol
_atom_site_fract_x
_atom_site_fract_y
_atom_site_fract_z
Tl1 Tl 0.000 0.500 0.500
Dy1 Dy 0.502 0.251 0.753
Dy2 Dy 0.498 0.749 0.247
Te1 Te 0.000 0.000 0.000



4:
# Dy2TlTe PBE optimized geometry
# Theoretical density   9.919 g/cm3
# Space-group type   P4/mmm (123)
data_Dy2TlTe
_cell_length_a 3.675
_cell_length_b 3.675
_cell_length_c 8.145
_cell_angle_alpha 90.00
_cell_angle_beta 90.00
_cell_angle_gamma 90.00
_space_group_name_H-M_alt 'P 1'
_space_group_IT_number 1
loop_
_space_group_symop_operation_xyz
'x,y,z'
loop_
_atom_site_label
_atom_site_type_symbol
_atom_site_fract_x
_atom_site_fract_y
_atom_site_fract_z
Dy1 Dy 0.000 0.000 0.239
Tl1 Tl 0.500 0.500 0.500
Te1 Te 0.500 0.500 0.000
Dy2 Dy 0.000 0.000 0.761



It is 2 that is the most stable of them.